No. 1
Crystalline V5Fe2RuPt2 at its relaxed geometry, computed with PBE-GGA.

Calculated values
Formation enthalpy at 0 K   -79 meV per atom
Theoretical density   10.380 g/cm³
SG   P4/mbm, No. 127

Structure (POSCAR):
```
V5Fe2RuPt2
1.0
2.886 0.000 0.000
0.000 9.750 0.000
0.000 0.000 9.750
Pt Ru Fe V
4 2 4 10
direct
0.000 0.327 0.827
0.000 0.673 0.173
0.000 0.173 0.327
0.000 0.827 0.673
0.000 0.000 0.000
0.000 0.500 0.500
0.000 0.371 0.129
0.000 0.871 0.371
0.000 0.629 0.871
0.000 0.129 0.629
0.500 0.500 0.000
0.500 0.000 0.500
0.500 0.427 0.301
0.500 0.073 0.801
0.500 0.927 0.199
0.500 0.801 0.927
0.500 0.199 0.073
0.500 0.301 0.573
0.500 0.573 0.699
0.500 0.699 0.427
```

***

No. 2
Crystalline VFeRuPt at its relaxed geometry, computed with PBE-GGA.

Calculated values
Formation enthalpy at 0 K   -293 meV per atom
Theoretical density   12.336 g/cm³
SG   Pmmm, No. 47

Structure (POSCAR):
```
VFeRuPt
1.0
-3.459 0.390 1.142
-1.151 -2.477 -2.641
0.503 -2.925 2.524
V Fe Ru Pt
1 1 1 1
direct
0.000 0.000 0.000
0.000 0.500 0.500
0.500 0.500 0.000
0.500 0.000 0.500
```

***

No. 3
Crystalline Y2FeRuPt at its relaxed geometry, computed with PBE-GGA.

Calculated values
Formation enthalpy at 0 K   516 meV per atom
Theoretical density   6.674 g/cm³
SG   P4/mmm, No. 123

Structure (POSCAR):
```
Y2FeRuPt
1.0
-0.973 1.831 -4.837
-3.356 -3.323 -0.583
-3.602 3.292 1.970
Y Pt Fe Ru
2 1 1 1
direct
0.500 0.000 0.000
0.000 0.000 0.500
0.000 0.500 0.000
0.500 0.500 0.500
0.000 0.000 0.000
```

***

No. 4
Crystalline FePt3S at its relaxed geometry, computed with PBE-GGA.

Calculated values
Energy relative to the elements, uncorrected   0.547 eV/atom
Energy above the lowest structure with this stoichiometry   0 meV per atom
Theoretical density   12.400 g/cm³
SG   Pm-3m, No. 221

Structure (POSCAR):
```
FePt3S
1.0
4.484 0.000 0.000
0.000 4.484 0.000
0.000 0.000 4.484
S Pt Fe
1 3 1
direct
0.000 0.000 0.000
0.500 0.000 0.000
0.000 0.000 0.500
0.000 0.500 0.000
0.500 0.500 0.500
```

***

No. 5
Crystalline FePtS2 at its relaxed geometry, computed with PBE-GGA.

Calculated values
Energy relative to the elements, uncorrected   -0.252 eV/atom
Energy above the lowest structure with this stoichiometry   0 meV per atom
Theoretical density   8.472 g/cm³
SG   R-3m, No. 166

Structure (POSCAR):
```
FePtS2
1.0
1.830 0.000 7.097
-0.915 1.585 7.097
-0.915 -1.585 7.097
Fe S Pt
1 2 1
direct
0.500 0.500 0.500
0.106 0.106 0.106
0.894 0.894 0.894
0.000 0.000 0.000
```

***

No. 6
Crystalline FePtS2 at its relaxed geometry, computed with PBE-GGA.

Calculated values
Energy relative to the elements, uncorrected   0.077 eV/atom
Energy above the lowest structure with this stoichiometry   329 meV per atom
Theoretical density   6.987 g/cm³
SG   R-3m, No. 166

Structure (POSCAR):
```
FePtS2
1.0
-0.701 3.861 6.016
-0.164 0.550 7.160
2.590 2.558 6.192
Fe S Pt
1 2 1
direct
0.000 0.000 0.000
0.104 0.104 0.104
0.896 0.896 0.896
0.500 0.500 0.500
```

***

Question: Look up the theoretical density of the first one.
Answer: 10.380 g/cm³

***

Question: What is the theoretical density in the sixth record?
Answer: 6.987 g/cm³

***

Question: Among the records above, which one has the highest theoretical density?
Answer: FePt3S